Pm3PrTh2P6 | PBE | optimized geometry

The structure belongs to space group C2/m (No. 12); the cell edges are 18.0706, 4.1525 and 8.2860 Å and the angles 90.00°, 103.18° and 90.00°. The asymmetric unit holds Pm at (0.0000, 0.0000, 0.0000), Pm at (0.1655, 0.5000, 0.3339), Pr at (0.0000, 0.0000, 0.5000), Th at (0.1658, 0.5000, 0.8313), P at (0.0011, 0.5000, 0.7540), P at (0.1675, 0.0000, 0.0817) and P at (0.1680, 0.0000, 0.5860).

The total moment is 0.00 μB/f.u. For the formation energy, the calculation gives -1.58 eV/atom.

PmPr2Th3P6 | PBE | optimized geometry

The structure belongs to space group C2/m (No. 12); the cell edges are 7.2188, 12.4849 and 7.1973 Å and the angles 90.00°, 109.52° and 90.00°. The asymmetric unit holds Pm at (0.0000, 0.0000, 0.0000), Pr at (0.0000, 0.3335, 0.0000), Th at (0.0000, 0.1671, 0.5000), Th at (0.0000, 0.5000, 0.5000), P at (0.2457, 0.0000, 0.7442) and P at (0.2505, 0.1655, 0.2553).

The total moment is 0.00 μB/f.u. For the formation energy, the calculation gives -1.56 eV/atom.

PmPr2ThP4 | PBE | optimized geometry

The structure belongs to space group P2/m (No. 10); the cell edges are 7.2145, 4.1724 and 7.2256 Å and the angles 90.00°, 109.42° and 90.00°. The asymmetric unit holds Pm at (0.0000, 0.0000, 0.0000), Pr at (0.0000, 0.5000, 0.5000), Pr at (0.5000, 0.0000, 0.5000), Th at (0.5000, 0.5000, 0.0000), P at (0.2501, 0.5000, 0.2441) and P at (0.2534, 0.0000, 0.7563).

The total moment is 0.00 μB/f.u. For the formation energy, the calculation gives -1.57 eV/atom.

Pm2PrThP4 | PBE | optimized geometry

The structure belongs to space group P2/m (No. 10); the cell edges are 7.1818, 4.1556 and 7.1924 Å and the angles 90.00°, 109.45° and 90.00°. The asymmetric unit holds Pm at (0.0000, 0.0000, 0.0000), Pm at (0.0000, 0.5000, 0.5000), Pr at (0.5000, 0.0000, 0.5000), Th at (0.5000, 0.5000, 0.0000), P at (0.2487, 0.5000, 0.2456) and P at (0.2504, 0.0000, 0.7534).

The total moment is 0.00 μB/f.u. For the formation energy, the calculation gives -1.58 eV/atom.

PmPr2TmP4 | PBE | optimized geometry

The structure belongs to space group P2/m (No. 10); the cell edges are 7.1397, 4.1270 and 7.1410 Å and the angles 90.00°, 109.46° and 90.00°. The asymmetric unit holds Pm at (0.0000, 0.0000, 0.0000), Pr at (0.5000, 0.0000, 0.5000), Pr at (0.5000, 0.5000, 0.0000), Tm at (0.0000, 0.5000, 0.5000), P at (0.2384, 0.0000, 0.7412) and P at (0.2420, 0.5000, 0.2524).

The total moment is 0.00 μB/f.u. For the formation energy, the calculation gives -1.53 eV/atom.

PmPrTm2P4 | PBE | optimized geometry

The structure belongs to space group P2/m (No. 10); the cell edges are 7.0248, 4.0631 and 7.0340 Å and the angles 90.00°, 109.49° and 90.00°. The asymmetric unit holds Pm at (0.0000, 0.0000, 0.0000), Pr at (0.0000, 0.5000, 0.5000), Tm at (0.5000, 0.0000, 0.5000), Tm at (0.5000, 0.5000, 0.0000), P at (0.2627, 0.5000, 0.2524) and P at (0.2641, 0.0000, 0.7566).

The total moment is 0.00 μB/f.u. For the formation energy, the calculation gives -1.56 eV/atom.

Pm2PrTmP4 | PBE | optimized geometry

The structure belongs to space group P2/m (No. 10); the cell edges are 7.1097, 4.1096 and 7.1108 Å and the angles 90.00°, 109.46° and 90.00°. The asymmetric unit holds Pm at (0.0000, 0.0000, 0.0000), Pm at (0.5000, 0.5000, 0.0000), Pr at (0.0000, 0.5000, 0.5000), Tm at (0.5000, 0.0000, 0.5000), P at (0.2566, 0.0000, 0.7490) and P at (0.2588, 0.5000, 0.2560).

The total moment is 0.00 μB/f.u. For the formation energy, the calculation gives -1.54 eV/atom.

Pm2PrUP4 | PBE | optimized geometry

The structure belongs to space group F222 (No. 22); the cell edges are 8.1861, 8.1943 and 11.5959 Å and the angles 90.00°, 90.00° and 90.00°. The asymmetric unit holds Pm at (0.0000, 0.0000, 0.0000), Pm at (0.2500, 0.2500, 0.2500), Pr at (0.2500, 0.2500, 0.7500), U at (0.0000, 0.0000, 0.5000), P at (0.0000, 0.0000, 0.2613) and P at (0.2500, 0.2500, 0.0016).

The total moment is 2.29 μB/f.u. For the formation energy, the calculation gives -1.39 eV/atom.

Pm2PrYP4 | PBE | optimized geometry

The structure belongs to space group P2/m (No. 10); the cell edges are 7.1368, 4.1246 and 7.1380 Å and the angles 90.00°, 109.45° and 90.00°. The asymmetric unit holds Pm at (0.0000, 0.0000, 0.0000), Pm at (0.5000, 0.5000, 0.0000), Pr at (0.0000, 0.5000, 0.5000), Y at (0.5000, 0.0000, 0.5000), P at (0.2551, 0.0000, 0.7505) and P at (0.2558, 0.5000, 0.2530).

The total moment is 0.00 μB/f.u. For the formation energy, the calculation gives -1.56 eV/atom.

Pm2PrY3P6 | PBE | optimized geometry

The structure belongs to space group C2/m (No. 12); the cell edges are 7.0791, 12.2591 and 7.0739 Å and the angles 90.00°, 109.46° and 90.00°. The asymmetric unit holds Pm at (0.0000, 0.1668, 0.0000), Pr at (0.0000, 0.5000, 0.0000), Y at (0.0000, 0.0000, 0.5000), Y at (0.0000, 0.3337, 0.5000), P at (0.2461, 0.1678, 0.7418) and P at (0.2504, 0.0000, 0.2582).

The total moment is 0.00 μB/f.u. For the formation energy, the calculation gives -1.58 eV/atom.

PmPr2YP4 | PBE | optimized geometry

The structure belongs to space group P2/m (No. 10); the cell edges are 7.1674, 4.1423 and 7.1685 Å and the angles 90.00°, 109.46° and 90.00°. The asymmetric unit holds Pm at (0.0000, 0.0000, 0.0000), Pr at (0.5000, 0.0000, 0.5000), Pr at (0.5000, 0.5000, 0.0000), Y at (0.0000, 0.5000, 0.5000), P at (0.2413, 0.0000, 0.7441) and P at (0.2436, 0.5000, 0.2508).

The total moment is 0.00 μB/f.u. For the formation energy, the calculation gives -1.55 eV/atom.

PmP2Pt | PBE | optimized geometry

The structure belongs to space group P4/mmm (No. 123); the cell edges are 4.4515, 4.4515 and 3.6648 Å and the angles 90.00°, 90.00° and 90.00°. The asymmetric unit holds Pm at (0.0000, 0.0000, 0.0000), P at (0.0000, 0.5000, 0.5000) and Pt at (0.5000, 0.5000, 0.0000).

The total moment is 0.00 μB/f.u. For the formation energy, the calculation gives -0.57 eV/atom.

PmPPt4 | PBE | optimized geometry

The structure belongs to space group Cmcm (No. 63); the cell edges are 4.0199, 15.3725 and 6.7865 Å and the angles 90.00°, 90.00° and 90.00°. The asymmetric unit holds Pm at (0.0000, 0.1036, 0.2500), P at (0.0000, 0.2401, 0.7500), Pt at (0.0000, 0.0851, 0.7500), Pt at (0.0000, 0.3156, 0.0424) and Pt at (0.0000, 0.5000, 0.0000).

The total moment is 0.00 μB/f.u. For the formation energy, the calculation gives -0.77 eV/atom.

PmP2Pt3 | PBE | optimized geometry

The structure belongs to space group C2/m (No. 12); the cell edges are 15.1845, 4.1366 and 7.4303 Å and the angles 90.00°, 117.10° and 90.00°. The asymmetric unit holds Pm at (0.1537, 0.0000, 0.0622), P at (0.0098, 0.5000, 0.1627), P at (0.1898, 0.0000, 0.7072), Pt at (0.0486, 0.0000, 0.3511), Pt at (0.1071, 0.5000, 0.6849) and Pt at (0.1854, 0.5000, 0.3912).

The total moment is 0.00 μB/f.u. For the formation energy, the calculation gives -0.85 eV/atom.

PmP2Pt8 | PBE | optimized geometry

The structure belongs to space group I4/mmm (No. 139); the cell edges are 5.4548, 5.4548 and 15.0345 Å and the angles 90.00°, 90.00° and 90.00°. The asymmetric unit holds Pm at (0.0000, 0.0000, 0.0000), P at (0.0000, 0.5000, 0.2500) and Pt at (0.2466, 0.2466, 0.3487).

The total moment is 0.00 μB/f.u. For the formation energy, the calculation gives -0.29 eV/atom.

PmP3Pt6 | PBE | optimized geometry

The structure belongs to space group R3 (No. 146, hexagonal axes); the cell edges are 6.3490, 6.3490 and 15.4515 Å and the angles 90.00°, 90.00° and 120.00°. The asymmetric unit holds Pm at (0.0000, 0.0000, 0.0000), P at (0.0000, 0.0000, 0.1919), P at (0.0000, 0.0000, 0.4424), P at (0.0000, 0.0000, 0.7087), Pt at (0.0431, 0.4793, 0.9793) and Pt at (0.0750, 0.3898, 0.4872).

The total moment is 0.00 μB/f.u. For the formation energy, the calculation gives -0.63 eV/atom.

PmPPt6 | PBE | optimized geometry

The structure belongs to space group R-3m (No. 166, hexagonal axes); the cell edges are 5.5699, 5.5699 and 17.5610 Å and the angles 90.00°, 90.00° and 120.00°. The asymmetric unit holds Pm at (0.0000, 0.0000, 0.0000), P at (0.0000, 0.0000, 0.5000) and Pt at (0.0112, 0.5056, 0.9216).

The total moment is 0.00 μB/f.u. For the formation energy, the calculation gives -0.55 eV/atom.

Pm2P2Pt3 | PBE | optimized geometry

The structure belongs to space group C2/m (No. 12); the cell edges are 10.2014, 4.0044 and 7.0974 Å and the angles 90.00°, 116.12° and 90.00°. The asymmetric unit holds Pm at (0.1339, 0.0000, 0.2696), P at (0.1520, 0.0000, 0.7103), Pt at (0.0000, 0.5000, 0.5000) and Pt at (0.1260, 0.5000, 0.9400).

The total moment is 0.00 μB/f.u. For the formation energy, the calculation gives -1.04 eV/atom.

Pm3P4Pt4 | PBE | optimized geometry

The structure belongs to space group P-1 (No. 2); the cell edges are 4.1179, 4.1531 and 12.5303 Å and the angles 80.48°, 80.54° and 89.99°. The asymmetric unit holds Pm at (0.0000, 0.0000, 0.0000), Pm at (0.3515, 0.8518, 0.2964), P at (0.1902, 0.6893, 0.6197), P at (0.4524, 0.4508, 0.0951), Pt at (0.0938, 0.5935, 0.8127) and Pt at (0.2564, 0.2557, 0.4864).

The total moment is 0.00 μB/f.u. For the formation energy, the calculation gives -1.16 eV/atom.

Pm4PPt2 | PBE | optimized geometry

The structure belongs to space group I4/mmm (No. 139); the cell edges are 5.4357, 5.4357 and 14.0445 Å and the angles 90.00°, 90.00° and 90.00°. The asymmetric unit holds Pm at (0.0000, 0.0000, 0.1995), Pm at (0.0000, 0.5000, 0.0000), P at (0.0000, 0.0000, 0.0000) and Pt at (0.0000, 0.0000, 0.3966).

The total moment is 0.00 μB/f.u. For the formation energy, the calculation gives -0.72 eV/atom.

Pm2PPt6 | PBE | optimized geometry

The structure belongs to space group C2/m (No. 12); the cell edges are 9.8345, 5.6977 and 6.0830 Å and the angles 90.00°, 103.73° and 90.00°. The asymmetric unit holds Pm at (0.1401, 0.0000, 0.3489), P at (0.0000, 0.5000, 0.5000), Pt at (0.1227, 0.5000, 0.2074) and Pt at (0.1345, 0.2476, 0.8065).

The total moment is 0.00 μB/f.u. For the formation energy, the calculation gives -0.94 eV/atom.

Pm4PPt2 | PBE | optimized geometry

The structure belongs to space group Fd-3m (No. 227, origin choice 2); the cell edges are 12.0234, 12.0234 and 12.0234 Å and the angles 90.00°, 90.00° and 90.00°. The asymmetric unit holds Pm at (0.0087, 0.0087, 0.2413), P at (0.1250, 0.1250, 0.6250) and Pt at (0.0000, 0.0000, 0.0000).

The total moment is 0.00 μB/f.u. For the formation energy, the calculation gives -0.96 eV/atom.

PmP2Pt4 | PBE | optimized geometry

The structure belongs to space group P4_2/mnm (No. 136); the cell edges are 7.9344, 7.9344 and 3.7409 Å and the angles 90.00°, 90.00° and 90.00°. The asymmetric unit holds Pm at (0.0000, 0.0000, 0.0000), P at (0.2265, 0.2265, 0.5000) and Pt at (0.0633, 0.6896, 0.5000).

The total moment is 0.00 μB/f.u. For the formation energy, the calculation gives -0.77 eV/atom.